# FeTeBr2

A PBEsol-optimized structure of FeTeBr2 (SCAN, Alexandria).

Cell: 3.140 3.140 10.202 Å, 90.00 90.00 90.00°
Positions (direct):
Fe 0.500 0.500 0.000
Br 0.000 0.000 0.844
Br 0.000 0.000 0.156
Te 0.500 0.500 0.500

Output
- Magnetic moment: 4.01 μB/cell
- Formation energy (no corrections): -0.26 eV/f.u.
- Space-group type: P4/mmm (123)